(1)
A plane-wave DFT calculation with PBE was carried out for a geometry-optimized AcGdPb2 structure.

Results
- formation enthalpy at 0 K (meV/atom) = -460

```
data_AcGdPb2
_chemical_formula_sum 'Ac1 Gd1 Pb2'
_space_group_name_H-M_alt 'P 1'
_space_group_IT_number 1
_space_group_name_Hall 'P 1'
_cell_length_a 5.269
_cell_length_b 5.269
_cell_length_c 4.663
_cell_angle_alpha 90.00
_cell_angle_beta 90.00
_cell_angle_gamma 90.00
loop_
_atom_site_label
_atom_site_fract_x
_atom_site_fract_y
_atom_site_fract_z
Ac1 0.000 0.000 0.000
Gd1 0.500 0.500 0.000
Pb1 0.000 0.500 0.500
Pb2 0.500 0.000 0.500
```

(2)
A plane-wave DFT calculation with PBE was carried out for a geometry-optimized AcPmGdPb structure.

Results
- formation enthalpy at 0 K (meV/atom) = -133

```
data_AcPmGdPb
_chemical_formula_sum 'Ac1 Pm1 Gd1 Pb1'
_space_group_name_H-M_alt 'P 1'
_space_group_IT_number 1
_space_group_name_Hall 'P 1'
_cell_length_a 5.753
_cell_length_b 5.753
_cell_length_c 5.753
_cell_angle_alpha 60.00
_cell_angle_beta 60.00
_cell_angle_gamma 60.00
loop_
_atom_site_label
_atom_site_fract_x
_atom_site_fract_y
_atom_site_fract_z
Ac1 0.000 0.000 0.000
Pm1 0.500 0.500 0.500
Gd1 0.250 0.250 0.250
Pb1 0.750 0.750 0.750
```

(3)
A plane-wave DFT calculation with PBE was carried out for a geometry-optimized AcPrGdPb structure.

Results
- formation enthalpy at 0 K (meV/atom) = -116

```
data_AcPrGdPb
_chemical_formula_sum 'Ac1 Pr1 Gd1 Pb1'
_space_group_name_H-M_alt 'P 1'
_space_group_IT_number 1
_space_group_name_Hall 'P 1'
_cell_length_a 5.720
_cell_length_b 5.720
_cell_length_c 5.720
_cell_angle_alpha 60.00
_cell_angle_beta 60.00
_cell_angle_gamma 60.00
loop_
_atom_site_label
_atom_site_fract_x
_atom_site_fract_y
_atom_site_fract_z
Ac1 0.000 0.000 0.000
Pr1 0.250 0.250 0.250
Gd1 0.750 0.750 0.750
Pb1 0.500 0.500 0.500
```

(4)
A plane-wave DFT calculation with PBE was carried out for a geometry-optimized AcGdPtPb structure.

Results
- formation enthalpy at 0 K (meV/atom) = -653

```
data_AcGdPtPb
_chemical_formula_sum 'Ac1 Gd1 Pt1 Pb1'
_space_group_name_H-M_alt 'P 1'
_space_group_IT_number 1
_space_group_name_Hall 'P 1'
_cell_length_a 5.450
_cell_length_b 5.450
_cell_length_c 5.450
_cell_angle_alpha 60.00
_cell_angle_beta 60.00
_cell_angle_gamma 60.00
loop_
_atom_site_label
_atom_site_fract_x
_atom_site_fract_y
_atom_site_fract_z
Ac1 0.000 0.000 0.000
Gd1 0.500 0.500 0.500
Pt1 0.750 0.750 0.750
Pb1 0.250 0.250 0.250
```

(5)
A plane-wave DFT calculation with PBE was carried out for a geometry-optimized AcGdSbPb structure.

Results
- formation energy without anion corrections (eV/atom) = -0.61

```
data_AcGdSbPb
_chemical_formula_sum 'Ac1 Gd1 Sb1 Pb1'
_space_group_name_H-M_alt 'P 1'
_space_group_IT_number 1
_space_group_name_Hall 'P 1'
_cell_length_a 5.657
_cell_length_b 5.657
_cell_length_c 5.657
_cell_angle_alpha 60.00
_cell_angle_beta 60.00
_cell_angle_gamma 60.00
loop_
_atom_site_label
_atom_site_fract_x
_atom_site_fract_y
_atom_site_fract_z
Ac1 0.000 0.000 0.000
Gd1 0.500 0.500 0.500
Sb1 0.250 0.250 0.250
Pb1 0.750 0.750 0.750
```

(6)
A plane-wave DFT calculation with PBE was carried out for a geometry-optimized AcGdScPb structure.

Results
- formation enthalpy at 0 K (meV/atom) = -49

```
data_AcGdScPb
_chemical_formula_sum 'Ac1 Gd1 Sc1 Pb1'
_space_group_name_H-M_alt 'P 1'
_space_group_IT_number 1
_space_group_name_Hall 'P 1'
_cell_length_a 5.530
_cell_length_b 5.530
_cell_length_c 5.530
_cell_angle_alpha 60.00
_cell_angle_beta 60.00
_cell_angle_gamma 60.00
loop_
_atom_site_label
_atom_site_fract_x
_atom_site_fract_y
_atom_site_fract_z
Ac1 0.000 0.000 0.000
Gd1 0.750 0.750 0.750
Sc1 0.250 0.250 0.250
Pb1 0.500 0.500 0.500
```

(7)
A plane-wave DFT calculation with PBE was carried out for a geometry-optimized AcGdTePb structure.

Results
- formation energy without anion corrections (eV/atom) = -0.79

```
data_AcGdTePb
_chemical_formula_sum 'Ac1 Gd1 Te1 Pb1'
_space_group_name_H-M_alt 'P 1'
_space_group_IT_number 1
_space_group_name_Hall 'P 1'
_cell_length_a 5.664
_cell_length_b 5.664
_cell_length_c 5.664
_cell_angle_alpha 60.00
_cell_angle_beta 60.00
_cell_angle_gamma 60.00
loop_
_atom_site_label
_atom_site_fract_x
_atom_site_fract_y
_atom_site_fract_z
Ac1 0.000 0.000 0.000
Gd1 0.500 0.500 0.500
Te1 0.750 0.750 0.750
Pb1 0.250 0.250 0.250
```

(8)
A plane-wave DFT calculation with PBE was carried out for a geometry-optimized AcGdTlPb structure.

Results
- formation enthalpy at 0 K (meV/atom) = -384

```
data_AcGdTlPb
_chemical_formula_sum 'Ac1 Gd1 Tl1 Pb1'
_space_group_name_H-M_alt 'P 1'
_space_group_IT_number 1
_space_group_name_Hall 'P 1'
_cell_length_a 5.676
_cell_length_b 5.676
_cell_length_c 5.676
_cell_angle_alpha 60.00
_cell_angle_beta 60.00
_cell_angle_gamma 60.00
loop_
_atom_site_label
_atom_site_fract_x
_atom_site_fract_y
_atom_site_fract_z
Ac1 0.000 0.000 0.000
Gd1 0.500 0.500 0.500
Tl1 0.750 0.750 0.750
Pb1 0.250 0.250 0.250
```

(9)
A plane-wave DFT calculation with PBE was carried out for a geometry-optimized AcGdTmPb structure.

Results
- formation enthalpy at 0 K (meV/atom) = -51

```
data_AcGdTmPb
_chemical_formula_sum 'Ac1 Gd1 Tm1 Pb1'
_space_group_name_H-M_alt 'P 1'
_space_group_IT_number 1
_space_group_name_Hall 'P 1'
_cell_length_a 5.625
_cell_length_b 5.625
_cell_length_c 5.625
_cell_angle_alpha 60.00
_cell_angle_beta 60.00
_cell_angle_gamma 60.00
loop_
_atom_site_label
_atom_site_fract_x
_atom_site_fract_y
_atom_site_fract_z
Ac1 0.000 0.000 0.000
Gd1 0.250 0.250 0.250
Tm1 0.750 0.750 0.750
Pb1 0.500 0.500 0.500
```

(10)
A plane-wave DFT calculation with PBE was carried out for a geometry-optimized AcGdZnPb structure.

Results
- formation enthalpy at 0 K (meV/atom) = -342

```
data_AcGdZnPb
_chemical_formula_sum 'Ac1 Gd1 Zn1 Pb1'
_space_group_name_H-M_alt 'P 1'
_space_group_IT_number 1
_space_group_name_Hall 'P 1'
_cell_length_a 5.538
_cell_length_b 5.538
_cell_length_c 5.538
_cell_angle_alpha 60.00
_cell_angle_beta 60.00
_cell_angle_gamma 60.00
loop_
_atom_site_label
_atom_site_fract_x
_atom_site_fract_y
_atom_site_fract_z
Ac1 0.000 0.000 0.000
Gd1 0.500 0.500 0.500
Zn1 0.250 0.250 0.250
Pb1 0.750 0.750 0.750
```

(11)
A plane-wave DFT calculation with PBE was carried out for a geometry-optimized AcGd3Pd structure.

Results
- formation enthalpy at 0 K (meV/atom) = -206

```
data_AcGd3Pd
_chemical_formula_sum 'Ac1 Gd3 Pd1'
_space_group_name_H-M_alt 'P 1'
_space_group_IT_number 1
_space_group_name_Hall 'P 1'
_cell_length_a 5.591
_cell_length_b 5.591
_cell_length_c 5.591
_cell_angle_alpha 90.00
_cell_angle_beta 90.00
_cell_angle_gamma 90.00
loop_
_atom_site_label
_atom_site_fract_x
_atom_site_fract_y
_atom_site_fract_z
Ac1 0.000 0.000 0.000
Gd1 0.000 0.500 0.500
Gd2 0.500 0.000 0.500
Gd3 0.500 0.500 0.000
Pd1 0.500 0.500 0.500
```

(12)
A plane-wave DFT calculation with PBE was carried out for a geometry-optimized AcGdPd structure.

Results
- distance to the lowest polymorph of the same formula (eV per atom) = 0.0000
- formation enthalpy at 0 K (meV/atom) = -465

```
data_AcGdPd
_chemical_formula_sum 'Ac1 Gd1 Pd1'
_space_group_name_H-M_alt 'P 1'
_space_group_IT_number 1
_space_group_name_Hall 'P 1'
_cell_length_a 6.924
_cell_length_b 6.924
_cell_length_c 6.924
_cell_angle_alpha 148.72
_cell_angle_beta 148.72
_cell_angle_gamma 44.82
loop_
_atom_site_label
_atom_site_fract_x
_atom_site_fract_y
_atom_site_fract_z
Ac1 0.000 0.000 0.000
Gd1 0.273 0.273 0.000
Pd1 0.658 0.658 0.000
```

(13)
A plane-wave DFT calculation with PBE was carried out for a geometry-optimized AcGd2Pd structure.

Results
- distance to the lowest polymorph of the same formula (eV per atom) = 0.0647
- formation enthalpy at 0 K (meV/atom) = -310

```
data_AcGd2Pd
_chemical_formula_sum 'Ac1 Gd2 Pd1'
_space_group_name_H-M_alt 'P 1'
_space_group_IT_number 1
_space_group_name_Hall 'P 1'
_cell_length_a 9.959
_cell_length_b 9.959
_cell_length_c 9.959
_cell_angle_alpha 22.94
_cell_angle_beta 22.94
_cell_angle_gamma 22.94
loop_
_atom_site_label
_atom_site_fract_x
_atom_site_fract_y
_atom_site_fract_z
Ac1 0.000 0.000 0.000
Gd1 0.226 0.226 0.226
Gd2 0.774 0.774 0.774
Pd1 0.500 0.500 0.500
```

(14)
A plane-wave DFT calculation with PBE was carried out for a geometry-optimized AcGd2Pd structure.

Results
- distance to the lowest polymorph of the same formula (eV per atom) = 0.0000
- formation enthalpy at 0 K (meV/atom) = -375

```
data_AcGd2Pd
_chemical_formula_sum 'Ac1 Gd2 Pd1'
_space_group_name_H-M_alt 'P 1'
_space_group_IT_number 1
_space_group_name_Hall 'P 1'
_cell_length_a 3.665
_cell_length_b 3.665
_cell_length_c 8.964
_cell_angle_alpha 90.00
_cell_angle_beta 90.00
_cell_angle_gamma 90.00
loop_
_atom_site_label
_atom_site_fract_x
_atom_site_fract_y
_atom_site_fract_z
Ac1 0.000 0.000 0.000
Gd1 0.500 0.500 0.315
Gd2 0.500 0.500 0.685
Pd1 0.000 0.000 0.500
```

(15)
A plane-wave DFT calculation with PBE was carried out for a geometry-optimized AcGdPd structure.

Results
- distance to the lowest polymorph of the same formula (eV per atom) = 0.0907
- formation enthalpy at 0 K (meV/atom) = -375

```
data_AcGdPd
_chemical_formula_sum 'Ac1 Gd1 Pd1'
_space_group_name_H-M_alt 'P 1'
_space_group_IT_number 1
_space_group_name_Hall 'P 1'
_cell_length_a 5.150
_cell_length_b 5.150
_cell_length_c 5.150
_cell_angle_alpha 60.00
_cell_angle_beta 60.00
_cell_angle_gamma 60.00
loop_
_atom_site_label
_atom_site_fract_x
_atom_site_fract_y
_atom_site_fract_z
Ac1 0.000 0.000 0.000
Gd1 0.500 0.500 0.500
Pd1 0.250 0.250 0.250
```

(16)
A plane-wave DFT calculation with PBE was carried out for a geometry-optimized AcGdPd structure.

Results
- distance to the lowest polymorph of the same formula (eV per atom) = 0.0976
- formation enthalpy at 0 K (meV/atom) = -368

```
data_AcGdPd
_chemical_formula_sum 'Ac1 Gd1 Pd1'
_space_group_name_H-M_alt 'P 1'
_space_group_IT_number 1
_space_group_name_Hall 'P 1'
_cell_length_a 4.845
_cell_length_b 4.845
_cell_length_c 4.479
_cell_angle_alpha 90.00
_cell_angle_beta 90.00
_cell_angle_gamma 120.00
loop_
_atom_site_label
_atom_site_fract_x
_atom_site_fract_y
_atom_site_fract_z
Ac1 0.000 0.000 0.000
Gd1 0.333 0.667 0.486
Pd1 0.667 0.333 0.608
```

(17)
A plane-wave DFT calculation with PBE was carried out for a geometry-optimized AcGdPdPt structure.

Results
- formation enthalpy at 0 K (meV/atom) = -889

```
data_AcGdPdPt
_chemical_formula_sum 'Ac1 Gd1 Pd1 Pt1'
_space_group_name_H-M_alt 'P 1'
_space_group_IT_number 1
_space_group_name_Hall 'P 1'
_cell_length_a 5.189
_cell_length_b 5.189
_cell_length_c 5.189
_cell_angle_alpha 60.00
_cell_angle_beta 60.00
_cell_angle_gamma 60.00
loop_
_atom_site_label
_atom_site_fract_x
_atom_site_fract_y
_atom_site_fract_z
Ac1 0.000 0.000 0.000
Gd1 0.500 0.500 0.500
Pd1 0.750 0.750 0.750
Pt1 0.250 0.250 0.250
```

(18)
A plane-wave DFT calculation with PBE was carried out for a geometry-optimized AcGdPdRh structure.

Results
- formation enthalpy at 0 K (meV/atom) = -689

```
data_AcGdPdRh
_chemical_formula_sum 'Ac1 Gd1 Pd1 Rh1'
_space_group_name_H-M_alt 'P 1'
_space_group_IT_number 1
_space_group_name_Hall 'P 1'
_cell_length_a 5.133
_cell_length_b 5.133
_cell_length_c 5.133
_cell_angle_alpha 60.00
_cell_angle_beta 60.00
_cell_angle_gamma 60.00
loop_
_atom_site_label
_atom_site_fract_x
_atom_site_fract_y
_atom_site_fract_z
Ac1 0.000 0.000 0.000
Gd1 0.500 0.500 0.500
Pd1 0.750 0.750 0.750
Rh1 0.250 0.250 0.250
```

(19)
A plane-wave DFT calculation with PBE was carried out for a geometry-optimized AcGdSbPd structure.

Results
- formation energy without anion corrections (eV/atom) = -0.74

```
data_AcGdSbPd
_chemical_formula_sum 'Ac1 Gd1 Sb1 Pd1'
_space_group_name_H-M_alt 'P 1'
_space_group_IT_number 1
_space_group_name_Hall 'P 1'
_cell_length_a 5.422
_cell_length_b 5.422
_cell_length_c 5.422
_cell_angle_alpha 60.00
_cell_angle_beta 60.00
_cell_angle_gamma 60.00
loop_
_atom_site_label
_atom_site_fract_x
_atom_site_fract_y
_atom_site_fract_z
Ac1 0.000 0.000 0.000
Gd1 0.500 0.500 0.500
Sb1 0.250 0.250 0.250
Pd1 0.750 0.750 0.750
```

(20)
A plane-wave DFT calculation with PBE was carried out for a geometry-optimized AcGdSiPd structure.

Results
- formation energy without anion corrections (eV/atom) = -0.58

```
data_AcGdSiPd
_chemical_formula_sum 'Ac1 Gd1 Si1 Pd1'
_space_group_name_H-M_alt 'P 1'
_space_group_IT_number 1
_space_group_name_Hall 'P 1'
_cell_length_a 5.242
_cell_length_b 5.242
_cell_length_c 5.242
_cell_angle_alpha 60.00
_cell_angle_beta 60.00
_cell_angle_gamma 60.00
loop_
_atom_site_label
_atom_site_fract_x
_atom_site_fract_y
_atom_site_fract_z
Ac1 0.000 0.000 0.000
Gd1 0.500 0.500 0.500
Si1 0.250 0.250 0.250
Pd1 0.750 0.750 0.750
```

Number 1: density of states at the Fermi level 1.251 states/eV per atom, uncorrected energy -6.862 eV/atom. Number 2: density of states at the Fermi level 1.349 states/eV per atom, uncorrected energy -6.795 eV/atom. Number 3: density of states at the Fermi level 1.429 states/eV per atom, uncorrected energy -6.785 eV/atom. Number 4: density of states at the Fermi level 0.728 states/eV per atom, uncorrected energy -7.637 eV/atom. Number 5: density of states at the Fermi level 1.212 states/eV per atom, uncorrected energy -7.118 eV/atom. Number 6: density of states at the Fermi level 1.394 states/eV per atom, uncorrected energy -7.106 eV/atom. Number 7: density of states at the Fermi level 0.907 states/eV per atom, uncorrected energy -7.053 eV/atom. Number 8: density of states at the Fermi level 1.431 states/eV per atom, uncorrected energy -6.450 eV/atom. Number 9: density of states at the Fermi level 1.167 states/eV per atom, uncorrected energy -6.643 eV/atom. Number 10: density of states at the Fermi level 1.491 states/eV per atom, uncorrected energy -6.135 eV/atom. Number 11: density of states at the Fermi level 1.675 states/eV per atom, uncorrected energy -10.515 eV/atom. Number 12: density of states at the Fermi level 1.280 states/eV per atom, uncorrected energy -8.259 eV/atom. Number 13: density of states at the Fermi level 1.476 states/eV per atom, uncorrected energy -9.676 eV/atom. Number 14: density of states at the Fermi level 1.216 states/eV per atom, uncorrected energy -9.741 eV/atom. Number 15: density of states at the Fermi level 1.737 states/eV per atom, uncorrected energy -8.169 eV/atom. Number 16: density of states at the Fermi level 1.032 states/eV per atom, uncorrected energy -8.162 eV/atom. Number 17: density of states at the Fermi level 1.051 states/eV per atom, uncorrected energy -8.245 eV/atom. Number 18: density of states at the Fermi level 0.818 states/eV per atom, uncorrected energy -8.372 eV/atom. Number 19: density of states at the Fermi level 1.334 states/eV per atom, uncorrected energy -7.619 eV/atom. Number 20: density of states at the Fermi level 0.922 states/eV per atom, uncorrected energy -7.785 eV/atom.